# BaMg3Cu, relaxed, DFT PBE-GGA
data_BaMg3Cu
_symmetry_space_group_name_H-M 'P 1'
_symmetry_Int_Tables_number 1
_symmetry_space_group_name_Hall 'P 1'
_cell_length_a 6.8190
_cell_length_b 6.8190
_cell_length_c 6.8190
_cell_angle_alpha 90.00
_cell_angle_beta 90.00
_cell_angle_gamma 90.00
loop_
_atom_site_label
_atom_site_type_symbol
_atom_site_fract_x
_atom_site_fract_y
_atom_site_fract_z
Ba1 Ba 0.0000 0.0000 0.0000
Mg1 Mg 0.0000 0.0000 0.5000
Mg2 Mg 0.0000 0.5000 0.0000
Mg3 Mg 0.5000 0.0000 0.0000
Cu1 Cu 0.5000 0.5000 0.5000
# - Space-group type: Pm-3m, No. 221
# - Energy above the most stable polymorph in this dataset: 6.877 eV/f.u.
# - Fermi-level density of states: 4.53 states/eV per cell

# BaMg3Cu, relaxed, DFT PBE-GGA
data_BaMg3Cu
_symmetry_space_group_name_H-M 'P 1'
_symmetry_Int_Tables_number 1
_symmetry_space_group_name_Hall 'P 1'
_cell_length_a 5.1528
_cell_length_b 5.1528
_cell_length_c 5.1528
_cell_angle_alpha 90.00
_cell_angle_beta 90.00
_cell_angle_gamma 90.00
loop_
_atom_site_label
_atom_site_type_symbol
_atom_site_fract_x
_atom_site_fract_y
_atom_site_fract_z
Ba1 Ba 0.0000 0.0000 0.0000
Mg1 Mg 0.0000 0.5000 0.5000
Mg2 Mg 0.5000 0.0000 0.5000
Mg3 Mg 0.5000 0.5000 0.0000
Cu1 Cu 0.5000 0.5000 0.5000
# - Space-group type: Pm-3m, No. 221
# - Energy above the most stable polymorph in this dataset: 0.000 eV/f.u.
# - Fermi-level density of states: 2.69 states/eV per cell

# Ba2MgCu, relaxed, DFT PBE-GGA
data_Ba2MgCu
_symmetry_space_group_name_H-M 'P 1'
_symmetry_Int_Tables_number 1
_symmetry_space_group_name_Hall 'P 1'
_cell_length_a 4.0825
_cell_length_b 4.0575
_cell_length_c 8.7136
_cell_angle_alpha 90.00
_cell_angle_beta 90.08
_cell_angle_gamma 90.00
loop_
_atom_site_label
_atom_site_type_symbol
_atom_site_fract_x
_atom_site_fract_y
_atom_site_fract_z
Ba1 Ba 0.0006 0.0000 0.2797
Ba2 Ba 0.9994 0.0000 0.7203
Mg1 Mg 0.5000 0.5000 0.0000
Cu1 Cu 0.5000 0.5000 0.5000
# - Space-group type: P2/m, No. 10
# - Fermi-level density of states: 5.40 states/eV per cell

# Ba2MgCu, relaxed, DFT PBE-GGA
data_Ba2MgCu
_symmetry_space_group_name_H-M 'P 1'
_symmetry_Int_Tables_number 1
_symmetry_space_group_name_Hall 'P 1'
_cell_length_a 7.9528
_cell_length_b 4.5811
_cell_length_c 9.6827
_cell_angle_alpha 90.00
_cell_angle_beta 105.88
_cell_angle_gamma 90.00
loop_
_atom_site_label
_atom_site_type_symbol
_atom_site_fract_x
_atom_site_fract_y
_atom_site_fract_z
Ba1 Ba 0.2346 0.0000 0.2032
Ba2 Ba 0.2654 0.5000 0.7968
Ba3 Ba 0.7346 0.5000 0.2032
Ba4 Ba 0.7654 0.0000 0.7968
Mg1 Mg 0.0000 0.0000 0.5000
Mg2 Mg 0.5000 0.5000 0.5000
Cu1 Cu 0.0000 0.5000 0.0000
Cu2 Cu 0.5000 0.0000 0.0000
# - Space-group type: C2/m, No. 12
# - Fermi-level density of states: 6.96 states/eV per cell

# Ba2MgCu, relaxed, DFT PBE-GGA
data_Ba2MgCu
_symmetry_space_group_name_H-M 'P 1'
_symmetry_Int_Tables_number 1
_symmetry_space_group_name_Hall 'P 1'
_cell_length_a 7.9775
_cell_length_b 7.9775
_cell_length_c 7.9775
_cell_angle_alpha 90.00
_cell_angle_beta 90.00
_cell_angle_gamma 90.00
loop_
_atom_site_label
_atom_site_type_symbol
_atom_site_fract_x
_atom_site_fract_y
_atom_site_fract_z
Ba1 Ba 0.0000 0.0000 0.0000
Ba2 Ba 0.0000 0.5000 0.5000
Ba3 Ba 0.2500 0.2500 0.2500
Ba4 Ba 0.2500 0.7500 0.7500
Ba5 Ba 0.5000 0.0000 0.5000
Ba6 Ba 0.5000 0.5000 0.0000
Ba7 Ba 0.7500 0.2500 0.7500
Ba8 Ba 0.7500 0.7500 0.2500
Mg1 Mg 0.2500 0.2500 0.7500
Mg2 Mg 0.2500 0.7500 0.2500
Mg3 Mg 0.7500 0.2500 0.2500
Mg4 Mg 0.7500 0.7500 0.7500
Cu1 Cu 0.0000 0.0000 0.5000
Cu2 Cu 0.0000 0.5000 0.0000
Cu3 Cu 0.5000 0.0000 0.0000
Cu4 Cu 0.5000 0.5000 0.5000
# - Space-group type: F-43m, No. 216
# - Fermi-level density of states: 14.15 states/eV per cell

# BaMg2Cu2, relaxed, DFT PBE-GGA
data_BaMg2Cu2
_symmetry_space_group_name_H-M 'P 1'
_symmetry_Int_Tables_number 1
_symmetry_space_group_name_Hall 'P 1'
_cell_length_a 11.3650
_cell_length_b 4.2263
_cell_length_c 5.3584
_cell_angle_alpha 90.00
_cell_angle_beta 104.70
_cell_angle_gamma 90.00
loop_
_atom_site_label
_atom_site_type_symbol
_atom_site_fract_x
_atom_site_fract_y
_atom_site_fract_z
Ba1 Ba 0.0000 0.0000 0.0000
Ba2 Ba 0.5000 0.5000 0.0000
Mg1 Mg 0.1611 0.5000 0.5797
Mg2 Mg 0.3389 0.0000 0.4203
Mg3 Mg 0.6611 0.0000 0.5797
Mg4 Mg 0.8389 0.5000 0.4203
Cu1 Cu 0.2345 0.5000 0.1179
Cu2 Cu 0.2655 0.0000 0.8821
Cu3 Cu 0.7345 0.0000 0.1179
Cu4 Cu 0.7655 0.5000 0.8821
# - Space-group type: C2/m, No. 12
# - Energy above the most stable polymorph in this dataset: 0.000 eV/f.u.
# - Fermi-level density of states: 5.95 states/eV per cell

no.,formation energy (kJ/mol of formula units),total energy (eV/atom),mass density (Mg/m³)
1,647,-0.818,1.4
2,-16,-2.194,3.3
3,11,-2.357,4.2
4,52,-2.250,3.5
5,77,-2.184,4.7
6,-35,-2.734,4.2